[1]
Entry from the Alexandria database: a geometry-optimized LaInRu2 structure (PBE).

Structure (CIF):
```
data_LaInRu2
_chemical_formula_sum 'La1 In1 Ru2'
_cell_length_a 3.4133
_cell_length_b 3.4318
_cell_length_c 6.6443
_cell_angle_alpha 90.00
_cell_angle_beta 95.38
_cell_angle_gamma 90.00
_space_group_name_H-M_alt 'P 1 2/m 1'
_space_group_IT_number 10
_space_group_name_Hall '-P 2y'
loop_
_atom_site_label
_atom_site_fract_x
_atom_site_fract_y
_atom_site_fract_z
La1 0.0000 0.0000 0.0000
In1 0.0000 0.0000 0.5000
Ru1 0.4666 0.5000 0.2708
```

Results
**Calculated formation energy**: 39 meV per atom
**Spin magnetization**: 0.0 μB/f.u.

***

[2]
Entry from the Alexandria database: a geometry-optimized LaInRu3 structure (PBE).

Structure (CIF):
```
data_LaInRu3
_chemical_formula_sum 'La1 In1 Ru3'
_cell_length_a 4.8928
_cell_length_b 4.8928
_cell_length_c 4.8928
_cell_angle_alpha 90.00
_cell_angle_beta 90.00
_cell_angle_gamma 90.00
_space_group_name_H-M_alt 'P m -3 m'
_space_group_IT_number 221
_space_group_name_Hall '-P 4 2 3'
loop_
_atom_site_label
_atom_site_fract_x
_atom_site_fract_y
_atom_site_fract_z
La1 0.0000 0.0000 0.0000
In1 0.5000 0.5000 0.5000
Ru1 0.0000 0.0000 0.5000
```

Results
**Distance to the lowest polymorph of the same formula**: 2.430 eV per formula unit
**Calculated formation energy**: 1615 meV per atom
**Spin magnetization**: 3.6 μB/f.u.

***

[3]
Entry from the Alexandria database: a geometry-optimized La2InRu structure (PBE).

Structure (CIF):
```
data_La2InRu
_chemical_formula_sum 'La4 In2 Ru2'
_cell_length_a 3.5249
_cell_length_b 5.0646
_cell_length_c 12.0026
_cell_angle_alpha 90.00
_cell_angle_beta 90.00
_cell_angle_gamma 90.00
_space_group_name_H-M_alt 'I m m 2'
_space_group_IT_number 44
_space_group_name_Hall 'I 2 -2'
loop_
_atom_site_label
_atom_site_fract_x
_atom_site_fract_y
_atom_site_fract_z
La1 0.0000 0.0000 0.0000
La2 0.0000 0.5000 0.1939
In1 0.0000 0.0000 0.3841
Ru1 0.0000 0.5000 0.7017
```

Results
**Calculated formation energy**: -243 meV per atom
**Spin magnetization**: 0.0 μB/f.u.